(1)
# PBE-GGA LaYS2O, optimized geometry
data_LaYS2O
_space_group_name_H-M_alt 'P 4/n m m'
_space_group_IT_number 129
_cell_length_a 3.9909
_cell_length_b 3.9909
_cell_length_c 14.0274
_cell_angle_alpha 90.00
_cell_angle_beta 90.00
_cell_angle_gamma 90.00
loop_
_space_group_symop_operation_xyz
'x,y,z'
'-x,-y,-z'
'-y+1/2,x,z'
'y+1/2,-x,-z'
'-x+1/2,-y+1/2,z'
'x+1/2,y+1/2,-z'
'y,-x+1/2,z'
'-y,x+1/2,-z'
'x+1/2,-y,-z'
'-x+1/2,y,z'
'-y,-x,-z'
'y,x,z'
'-x,y+1/2,-z'
'x,-y+1/2,z'
'y+1/2,x+1/2,-z'
'-y+1/2,-x+1/2,z'
loop_
_atom_site_label
_atom_site_type_symbol
_atom_site_fract_x
_atom_site_fract_y
_atom_site_fract_z
_atom_site_occupancy
La1 La 0.2500 0.2500 0.0906 1
Y1 Y 0.2500 0.2500 0.6198 1
S1 S 0.2500 0.2500 0.4099 1
S2 S 0.2500 0.2500 0.7976 1
O1 O 0.2500 0.7500 0.0000 1
# M_tot = 0.00 μB per atom
# E_form (uncorrected) = -2.568 eV per atom
# Electronic total energy = -7.4891 eV per atom

(2)
# PBE-GGA KMnCu2, optimized geometry
data_KMnCu2
_space_group_name_H-M_alt 'I m m 2'
_space_group_IT_number 44
_cell_length_a 2.7939
_cell_length_b 5.2445
_cell_length_c 10.4504
_cell_angle_alpha 90.00
_cell_angle_beta 90.00
_cell_angle_gamma 90.00
loop_
_space_group_symop_operation_xyz
'x,y,z'
'-x,-y,z'
'-x,y,z'
'x,-y,z'
'x+1/2,y+1/2,z+1/2'
'-x+1/2,-y+1/2,z+1/2'
'-x+1/2,y+1/2,z+1/2'
'x+1/2,-y+1/2,z+1/2'
loop_
_atom_site_label
_atom_site_type_symbol
_atom_site_fract_x
_atom_site_fract_y
_atom_site_fract_z
_atom_site_occupancy
K1 K 0.0000 0.0000 0.0000 1
Mn1 Mn 0.0000 0.5000 0.8028 1
Cu1 Cu 0.0000 0.0000 0.5154 1
Cu2 Cu 0.0000 0.5000 0.2148 1
# M_tot = 1.05 μB per atom
# E above lowest polymorph = 223.1 meV/atom
# ΔH_f (0 K) = 247 kJ/mol of formula units
# Electronic total energy = -3.9759 eV per atom

(3)
# PBE-GGA KSe3, optimized geometry
data_KSe3
_space_group_name_H-M_alt 'P 63/m m c'
_space_group_IT_number 194
_space_group_name_Hall '-P 6c 2c'
_cell_length_a 6.3364
_cell_length_b 6.3364
_cell_length_c 12.3304
_cell_angle_alpha 90.00
_cell_angle_beta 90.00
_cell_angle_gamma 120.00
loop_
_atom_site_label
_atom_site_type_symbol
_atom_site_fract_x
_atom_site_fract_y
_atom_site_fract_z
_atom_site_occupancy
K1 K 0.0000 0.0000 0.0000 1
K2 K 0.3333 0.6667 0.2500 1
Se1 Se 0.0000 0.5000 0.0000 1
Se2 Se 0.1322 0.2644 0.7500 1
# M_tot = 0.00 μB per atom
# E above lowest polymorph = 410.6 meV/atom
# E_form (uncorrected) = -0.064 eV per atom
# Electronic total energy = -2.9521 eV per atom

(4)
# PBE-GGA GePb2N2, optimized geometry
data_GePb2N2
_space_group_name_H-M_alt 'I 4/m m m'
_space_group_IT_number 139
_space_group_name_Hall '-I 4 2'
_cell_length_a 5.2202
_cell_length_b 5.2202
_cell_length_c 7.9493
_cell_angle_alpha 90.00
_cell_angle_beta 90.00
_cell_angle_gamma 90.00
loop_
_atom_site_label
_atom_site_type_symbol
_atom_site_fract_x
_atom_site_fract_y
_atom_site_fract_z
_atom_site_occupancy
Ge1 Ge 0.0000 0.0000 0.0000 1
Pb1 Pb 0.0000 0.5000 0.2500 1
N1 N 0.0000 0.0000 0.4282 1
# M_tot = 0.00 μB per atom
# E above lowest polymorph = 0.0 meV/atom
# E_form (uncorrected) = 0.369 eV per atom
# Electronic total energy = -5.3680 eV per atom

(5)
# PBE-GGA AcTb3, optimized geometry
data_AcTb3
_space_group_name_H-M_alt 'P m m 2'
_space_group_IT_number 25
_cell_length_a 3.7451
_cell_length_b 5.9014
_cell_length_c 6.3479
_cell_angle_alpha 90.00
_cell_angle_beta 90.00
_cell_angle_gamma 90.00
loop_
_space_group_symop_operation_xyz
'x,y,z'
'-x,-y,z'
'-x,y,z'
'x,-y,z'
loop_
_atom_site_label
_atom_site_type_symbol
_atom_site_fract_x
_atom_site_fract_y
_atom_site_fract_z
_atom_site_occupancy
Ac1 Ac 0.0000 0.0000 0.0000 1
Tb1 Tb 0.0000 0.5000 0.6561 1
Tb2 Tb 0.5000 0.0000 0.4977 1
Tb3 Tb 0.5000 0.5000 0.1645 1
# M_tot = 0.00 μB per atom
# ΔH_f (0 K) = 23 kJ/mol of formula units
# Electronic total energy = -4.4390 eV per atom

(6)
# PBE-GGA BaMoPb2, optimized geometry
data_BaMoPb2
_space_group_name_H-M_alt 'P 4/m m m'
_space_group_IT_number 123
_space_group_name_Hall '-P 4 2'
_cell_length_a 4.9729
_cell_length_b 4.9729
_cell_length_c 4.9813
_cell_angle_alpha 90.00
_cell_angle_beta 90.00
_cell_angle_gamma 90.00
loop_
_atom_site_label
_atom_site_type_symbol
_atom_site_fract_x
_atom_site_fract_y
_atom_site_fract_z
_atom_site_occupancy
Ba1 Ba 0.0000 0.0000 0.0000 1
Mo1 Mo 0.5000 0.5000 0.0000 1
Pb1 Pb 0.0000 0.5000 0.5000 1
# M_tot = 0.98 μB per atom
# E above lowest polymorph = 314.0 meV/atom
# ΔH_f (0 K) = 216 kJ/mol of formula units
# Electronic total energy = -4.4842 eV per atom

(7)
# PBE-GGA TbY2OsO8, optimized geometry
data_TbY2OsO8
_space_group_name_H-M_alt 'C m m m'
_space_group_IT_number 65
_space_group_name_Hall '-C 2 2'
_cell_length_a 7.1230
_cell_length_b 7.1676
_cell_length_c 6.7937
_cell_angle_alpha 90.00
_cell_angle_beta 90.00
_cell_angle_gamma 90.00
loop_
_atom_site_label
_atom_site_type_symbol
_atom_site_fract_x
_atom_site_fract_y
_atom_site_fract_z
_atom_site_occupancy
Tb1 Tb 0.0000 0.0000 0.0000 1
Y1 Y 0.0000 0.5000 0.2470 1
Os1 Os 0.0000 0.0000 0.5000 1
O1 O 0.0000 0.1828 0.2914 1
O2 O 0.1919 0.5000 0.0000 1
O3 O 0.2360 0.5000 0.5000 1
# M_tot = 0.09 μB per atom
# E_form (uncorrected) = -2.520 eV per atom
# Electronic total energy = -8.2242 eV per atom

(8)
# PBE-GGA MgZnHIr2, optimized geometry
data_MgZnHIr2
_space_group_name_H-M_alt 'P 4/m m m'
_space_group_IT_number 123
_space_group_name_Hall '-P 4 2'
_cell_length_a 3.9875
_cell_length_b 3.9875
_cell_length_c 3.9101
_cell_angle_alpha 90.00
_cell_angle_beta 90.00
_cell_angle_gamma 90.00
loop_
_atom_site_label
_atom_site_type_symbol
_atom_site_fract_x
_atom_site_fract_y
_atom_site_fract_z
_atom_site_occupancy
Mg1 Mg 0.0000 0.0000 0.0000 1
Zn1 Zn 0.5000 0.5000 0.0000 1
H1 H 0.5000 0.5000 0.5000 1
Ir1 Ir 0.0000 0.5000 0.5000 1
# M_tot = 0.00 μB per atom
# E above lowest polymorph = 54.5 meV/atom
# Electronic total energy = -4.8794 eV per atom

(9)
# PBE-GGA SiIrRh4, optimized geometry
data_SiIrRh4
_space_group_name_H-M_alt 'F -4 3 m'
_space_group_IT_number 216
_space_group_name_Hall 'F -4 2 3'
_cell_length_a 7.1494
_cell_length_b 7.1494
_cell_length_c 7.1494
_cell_angle_alpha 90.00
_cell_angle_beta 90.00
_cell_angle_gamma 90.00
loop_
_atom_site_label
_atom_site_type_symbol
_atom_site_fract_x
_atom_site_fract_y
_atom_site_fract_z
_atom_site_occupancy
Si1 Si 0.0000 0.0000 0.0000 1
Ir1 Ir 0.2500 0.2500 0.2500 1
Rh1 Rh 0.1248 0.1248 0.6248 1
# M_tot = 0.01 μB per atom
# E_form (uncorrected) = 0.549 eV per atom
# Electronic total energy = -6.7326 eV per atom

(10)
# PBE-GGA Pr4Mg3Cd, optimized geometry
data_Pr4Mg3Cd
_space_group_name_H-M_alt 'P 4/m m m'
_space_group_IT_number 123
_space_group_name_Hall '-P 4 2'
_cell_length_a 3.9113
_cell_length_b 3.9113
_cell_length_c 15.5954
_cell_angle_alpha 90.00
_cell_angle_beta 90.00
_cell_angle_gamma 90.00
loop_
_atom_site_label
_atom_site_type_symbol
_atom_site_fract_x
_atom_site_fract_y
_atom_site_fract_z
_atom_site_occupancy
Pr1 Pr 0.0000 0.0000 0.1239 1
Pr2 Pr 0.0000 0.0000 0.3736 1
Mg1 Mg 0.5000 0.5000 0.2504 1
Mg2 Mg 0.5000 0.5000 0.5000 1
Cd1 Cd 0.5000 0.5000 0.0000 1
# M_tot = 0.00 μB per atom
# ΔH_f (0 K) = -126 kJ/mol of formula units
# Electronic total energy = -3.2649 eV per atom

(11)
# PBE-GGA Bi4Pd15Au, optimized geometry
data_Bi4Pd15Au
_space_group_name_H-M_alt 'P 4/m m m'
_space_group_IT_number 123
_space_group_name_Hall '-P 4 2'
_cell_length_a 4.1178
_cell_length_b 4.1178
_cell_length_c 20.4910
_cell_angle_alpha 90.00
_cell_angle_beta 90.00
_cell_angle_gamma 90.00
loop_
_atom_site_label
_atom_site_type_symbol
_atom_site_fract_x
_atom_site_fract_y
_atom_site_fract_z
_atom_site_occupancy
Bi1 Bi 0.0000 0.0000 0.1028 1
Bi2 Bi 0.0000 0.0000 0.3107 1
Pd1 Pd 0.0000 0.5000 0.0000 1
Pd2 Pd 0.0000 0.5000 0.2016 1
Pd3 Pd 0.0000 0.5000 0.4041 1
Pd4 Pd 0.5000 0.5000 0.0998 1
Pd5 Pd 0.5000 0.5000 0.2986 1
Pd6 Pd 0.5000 0.5000 0.5000 1
Au1 Au 0.0000 0.0000 0.5000 1
# M_tot = 0.00 μB per atom
# ΔH_f (0 K) = -426 kJ/mol of formula units
# Electronic total energy = -5.0557 eV per atom